Compound: ScB
Source: Alexandria
Functional: PBE
Structure: optimized geometry

Computed properties:
V in A^3/atom: 23.8
Space group: No. 223
Calculated total energy in eV/atom: -5.502
Spin magnetization in μB per cell: 0.01

Unit cell a=6.588 b=6.588 c=6.588 alpha=90.00 beta=90.00 gamma=90.00
Fractional coordinates of all 12 atoms:
Sc: 0.000 0.250 0.500
Sc: 0.000 0.750 0.500
Sc: 0.250 0.500 0.000
Sc: 0.500 0.000 0.250
Sc: 0.500 0.000 0.750
Sc: 0.750 0.500 0.000
B: 0.000 0.500 0.250
B: 0.000 0.500 0.750
B: 0.250 0.000 0.500
B: 0.500 0.250 0.000
B: 0.500 0.750 0.000
B: 0.750 0.000 0.500